FeAu2N (GGA-PBE, optimized geometry); relative energy among the computed polymorphs = 565 meV/atom; energy = -41.2 eV/cell; space group = Cm, No. 8; raw formation energy = 2.7 eV/f.u.; calculated volume = 130.9 Å³/cell; density = 11.8 Mg/m³
1.0
10.0123 0.0000 0.0000
0.0000 2.8754 0.0000
-1.6372 0.0000 4.5459
Fe Au N
2 4 2
Cartesian
0.0000 0.0000 0.0000
5.0061 1.4377 0.0000
-0.3242 1.4377 2.7730
2.8586 0.0000 0.4475
4.6820 0.0000 2.7730
7.8647 1.4377 0.4475
0.8712 0.0000 1.4037
5.8773 1.4377 1.4037